[1]
This record from Alexandria via LeMat-Bulk describes a relaxed K2LaOsO8 crystal. The functional is PBE. Values from VASP.

Quantum ESPRESSO input file:
```
&SYSTEM
  ibrav = 0, nat = 12, ntyp = 4
/
ATOMIC_SPECIES
O 16.00 O.upf
La 138.91 La.upf
K 39.10 K.upf
Os 190.23 Os.upf
CELL_PARAMETERS angstrom
-3.1694 -1.2591 -3.3132
4.2593 0.0985 -3.8198
1.3429 -6.7064 1.2765
ATOMIC_POSITIONS crystal
O 0.5030 0.8700 0.4984
O 0.4065 0.0946 0.0018
O 0.5935 0.9054 0.9982
O 0.0445 0.7775 0.1969
La 0.0000 0.0000 0.5000
K 0.5001 0.5000 0.2335
O 0.0457 0.7777 0.8039
K 0.4999 0.5000 0.7665
Os 0.0000 0.0000 0.0000
O 0.9543 0.2223 0.1961
O 0.4970 0.1300 0.5016
O 0.9555 0.2225 0.8031
```

V = 15.76 A^3/atom
SG = P-1
crystal system = triclinic
raw formation energy = -1.479 eV/atom
magnetization = 1.0 μB per formula unit


[2]
This record from Alexandria via LeMat-Bulk describes a relaxed KLaBI2 crystal. The functional is PBE. Values from VASP.

Quantum ESPRESSO input file:
```
&SYSTEM
  ibrav = 0, nat = 5, ntyp = 4
/
ATOMIC_SPECIES
K 39.10 K.upf
La 138.91 La.upf
I 126.90 I.upf
B 10.81 B.upf
CELL_PARAMETERS angstrom
6.1603 0.0000 0.0000
0.0000 6.1603 0.0000
0.0000 0.0000 8.6214
ATOMIC_POSITIONS crystal
K 0.0000 0.0000 0.5000
La 0.0000 0.0000 0.0000
I 0.5000 0.0000 0.0000
I 0.0000 0.5000 0.0000
B 0.5000 0.5000 0.5000
```

V = 65.44 A^3/atom
SG = P4/mmm
crystal system = tetragonal
raw formation energy = 0.515 eV/atom
magnetization = 0.7 μB per formula unit


[3]
This record from Alexandria via LeMat-Bulk describes a relaxed AlRe3As crystal. The functional is PBE. Values from VASP.

Quantum ESPRESSO input file:
```
&SYSTEM
  ibrav = 0, nat = 5, ntyp = 3
/
ATOMIC_SPECIES
As 74.92 As.upf
Re 186.21 Re.upf
Al 26.98 Al.upf
CELL_PARAMETERS angstrom
-3.4638 2.1239 1.9919
-2.5287 -0.6592 -3.6943
-1.4438 -3.9409 1.6915
ATOMIC_POSITIONS crystal
As 0.0000 0.0000 0.0000
Re 0.0000 0.5000 0.0000
Re 0.5000 0.0000 0.0000
Re 0.0000 0.0000 0.5000
Al 0.5000 0.5000 0.5000
```

V = 18.53 A^3/atom
energy above the lowest structure with this stoichiometry = 0 meV/atom
SG = Pm-3m
crystal system = cubic
formation enthalpy at 0 K = 1.5140 eV per atom
magnetization = 0.0 μB per formula unit


[4]
This record from Alexandria via LeMat-Bulk describes a relaxed Ti2MnIrN crystal. The functional is PBE. Values from VASP.

Quantum ESPRESSO input file:
```
&SYSTEM
  ibrav = 0, nat = 5, ntyp = 4
/
ATOMIC_SPECIES
Ir 192.22 Ir.upf
N 14.01 N.upf
Ti 47.87 Ti.upf
Mn 54.94 Mn.upf
CELL_PARAMETERS angstrom
4.1153 0.0000 0.0000
0.0000 4.1153 0.0000
0.0000 0.0000 3.7445
ATOMIC_POSITIONS crystal
Ir 0.5000 0.5000 0.5000
N 0.0000 0.0000 0.0000
Ti 0.5000 0.0000 0.0000
Mn 0.0000 0.0000 0.5000
Ti 0.0000 0.5000 0.0000
```

V = 12.68 A^3/atom
SG = P4/mmm
crystal system = tetragonal
raw formation energy = -0.880 eV/atom
magnetization = 1.5 μB per formula unit


[5]
This record from Alexandria via LeMat-Bulk describes a relaxed Li3AcAg8 crystal. The functional is PBE. Values from VASP.

Quantum ESPRESSO input file:
```
&SYSTEM
  ibrav = 0, nat = 12, ntyp = 3
/
ATOMIC_SPECIES
Li 6.94 Li.upf
Ag 107.87 Ag.upf
Ac 227.00 Ac.upf
CELL_PARAMETERS angstrom
5.6379 0.0000 0.0000
-2.8190 4.8826 0.0000
0.0000 0.0000 9.2469
ATOMIC_POSITIONS crystal
Li 0.6667 0.3333 0.0418
Ag 0.6706 0.8353 0.2476
Li 0.6667 0.3333 0.3718
Ag 0.9940 0.4970 0.7638
Ag 0.5030 0.0060 0.7638
Ag 0.1647 0.8353 0.2476
Ac 0.0000 0.0000 0.5682
Ag 0.5030 0.4970 0.7638
Li 0.0000 0.0000 0.9781
Ag 0.3333 0.6667 0.0045
Ag 0.3333 0.6667 0.5015
Ag 0.1647 0.3294 0.2476
```

V = 21.21 A^3/atom
SG = P3m1
crystal system = trigonal
formation enthalpy at 0 K = -0.1300 eV per atom
magnetization = 0.0 μB per formula unit


[6]
This record from Alexandria via LeMat-Bulk describes a relaxed GaFeS2 crystal. The functional is PBE. Values from VASP.

Quantum ESPRESSO input file:
```
&SYSTEM
  ibrav = 0, nat = 4, ntyp = 3
/
ATOMIC_SPECIES
Fe 55.84 Fe.upf
S 32.06 S.upf
Ga 69.72 Ga.upf
CELL_PARAMETERS angstrom
-1.2113 -4.7835 6.4635
-1.4685 -6.9028 4.0399
1.4444 -6.0995 5.1804
ATOMIC_POSITIONS crystal
Fe 0.5000 0.5000 0.5000
S 0.1131 0.1131 0.1131
S 0.8869 0.8869 0.8869
Ga 0.0000 0.0000 0.0000
```

V = 17.88 A^3/atom
SG = R-3m
crystal system = trigonal
raw formation energy = -0.228 eV/atom
magnetization = 1.6 μB per formula unit